# KCdTe2 (GGA-PBE, relaxed)
data_KCdTe2
_space_group_name_H-M_alt 'P 4/m m m'
_space_group_IT_number 123
_space_group_name_Hall '-P 4 2'
_cell_length_a 6.112
_cell_length_b 6.112
_cell_length_c 3.270
_cell_angle_alpha 90.00
_cell_angle_beta 90.00
_cell_angle_gamma 90.00
loop_
_atom_site_label
_atom_site_type_symbol
_atom_site_fract_x
_atom_site_fract_y
_atom_site_fract_z
_atom_site_occupancy
K1 K 0.000 0.000 0.000 1
Cd1 Cd 0.500 0.500 0.000 1
Te1 Te 0.000 0.500 0.500 1
# - Total moment: 0.000 Bohr magnetons per cell
# - Raw total energy: -2.40 eV per atom


# K2Cd2Te (GGA-PBE, relaxed)
data_K2Cd2Te
_space_group_name_H-M_alt 'P 4/m b m'
_space_group_IT_number 127
_space_group_name_Hall '-P 4 2ab'
_cell_length_a 8.762
_cell_length_b 8.762
_cell_length_c 5.595
_cell_angle_alpha 90.00
_cell_angle_beta 90.00
_cell_angle_gamma 90.00
loop_
_atom_site_label
_atom_site_type_symbol
_atom_site_fract_x
_atom_site_fract_y
_atom_site_fract_z
_atom_site_occupancy
K1 K 0.157 0.343 0.000 1
Cd1 Cd 0.148 0.648 0.500 1
Te1 Te 0.000 0.000 0.000 1
# - Total moment: 0.000 Bohr magnetons per cell
# - Raw total energy: -1.64 eV per atom
# - Energy above the lowest structure with this stoichiometry: 0.1567 eV/atom


# KCdTe2 (GGA-PBE, relaxed)
data_KCdTe2
_space_group_name_H-M_alt 'P 4 m m'
_space_group_IT_number 99
_space_group_name_Hall 'P 4 -2'
_cell_length_a 3.279
_cell_length_b 3.279
_cell_length_c 12.054
_cell_angle_alpha 90.00
_cell_angle_beta 90.00
_cell_angle_gamma 90.00
loop_
_atom_site_label
_atom_site_type_symbol
_atom_site_fract_x
_atom_site_fract_y
_atom_site_fract_z
_atom_site_occupancy
K1 K 0.000 0.000 0.000 1
Cd1 Cd 0.500 0.500 0.765 1
Te1 Te 0.000 0.000 0.556 1
Te2 Te 0.500 0.500 0.220 1
# - Total moment: 0.000 Bohr magnetons per cell
# - Raw total energy: -2.21 eV per atom


Copy entry 3 word for word.
# KCdTe2 (GGA-PBE, relaxed)
data_KCdTe2
_space_group_name_H-M_alt 'P 4 m m'
_space_group_IT_number 99
_space_group_name_Hall 'P 4 -2'
_cell_length_a 3.279
_cell_length_b 3.279
_cell_length_c 12.054
_cell_angle_alpha 90.00
_cell_angle_beta 90.00
_cell_angle_gamma 90.00
loop_
_atom_site_label
_atom_site_type_symbol
_atom_site_fract_x
_atom_site_fract_y
_atom_site_fract_z
_atom_site_occupancy
K1 K 0.000 0.000 0.000 1
Cd1 Cd 0.500 0.500 0.765 1
Te1 Te 0.000 0.000 0.556 1
Te2 Te 0.500 0.500 0.220 1
# - Total moment: 0.000 Bohr magnetons per cell
# - Raw total energy: -2.21 eV per atom